# PBE Tm7Cu2Bi2, relaxed
data_Tm7Cu2Bi2
_symmetry_space_group_name_H-M 'I m m 2'
_symmetry_Int_Tables_number 44
_symmetry_space_group_name_Hall 'I 2 -2'
_cell_length_a 3.9945
_cell_length_b 15.2771
_cell_length_c 9.7355
_cell_angle_alpha 90.00
_cell_angle_beta 90.00
_cell_angle_gamma 90.00
loop_
_atom_site_label
_atom_site_fract_x
_atom_site_fract_y
_atom_site_fract_z
Tm1 0.0000 0.0000 0.0000
Tm2 0.0000 0.1280 0.4188
Tm3 0.0000 0.3098 0.6273
Tm4 0.0000 0.3565 0.2771
Cu1 0.0000 0.2358 0.9342
Bi1 0.0000 0.0000 0.6678
Bi2 0.0000 0.5000 0.7602
# ΔH_f (0 K): -3.80 eV/f.u.
# E_tot: -4.641 eV/atom